This record from Alexandria via LeMat-Bulk describes TlInW at its PBEsol-relaxed geometry. The functional is SCAN.

Unit cell a=4.646 b=4.646 c=4.646 alpha=60.00 beta=60.00 gamma=60.00
Fractional coordinates of all 3 atoms:
Tl  0.000  0.000  0.000
In  0.250  0.250  0.250
W  0.500  0.500  0.500

Results
**Energy relative to the elements**: 1.562 eV per atom
**Crystal system**: cubic
**Total DFT energy (no corrections)**: -56.915 eV/atom

***

This record from Alexandria via LeMat-Bulk describes Ta2InP at its PBEsol-relaxed geometry. The functional is SCAN.

Unit cell a=5.061 b=5.061 c=5.061 alpha=139.93 beta=121.69 gamma=73.11
Fractional coordinates of all 4 atoms:
Ta  0.204  0.204  0.000
Ta  0.796  0.796  0.000
In  0.500  0.000  0.500
P  0.000  0.500  0.500

Results
**Energy relative to the elements**: -0.099 eV per atom
**Crystal system**: orthorhombic
**Total DFT energy (no corrections)**: -44.337 eV/atom
**Relative energy among the computed polymorphs**: 0.0 meV/atom

***

This record from Alexandria via LeMat-Bulk describes CaCuGe2O6 at its PBEsol-relaxed geometry. The functional is SCAN.

Unit cell a=10.095 b=9.225 c=5.183 alpha=90.00 beta=104.71 gamma=90.00
Fractional coordinates of all 40 atoms:
Ca  0.212  0.044  0.026
Ca  0.212  0.456  0.526
Ca  0.788  0.544  0.474
Ca  0.788  0.956  0.974
Cu  0.274  0.660  0.023
Cu  0.274  0.840  0.523
Cu  0.726  0.160  0.477
Cu  0.726  0.340  0.977
Ge  0.008  0.149  0.422
Ge  0.008  0.351  0.922
Ge  0.448  0.150  0.648
Ge  0.448  0.350  0.148
Ge  0.552  0.650  0.852
Ge  0.552  0.850  0.352
Ge  0.992  0.649  0.078
Ge  0.992  0.851  0.578
O  0.057  0.525  0.817
O  0.057  0.975  0.317
O  0.102  0.246  0.199
O  0.102  0.254  0.699
O  0.163  0.683  0.276
O  0.163  0.817  0.776
O  0.344  0.016  0.719
O  0.344  0.484  0.219
O  0.374  0.633  0.758
O  0.374  0.867  0.258
O  0.398  0.189  0.296
O  0.398  0.311  0.796
O  0.602  0.689  0.204
O  0.602  0.811  0.704
O  0.626  0.133  0.742
O  0.626  0.367  0.242
O  0.656  0.516  0.781
O  0.656  0.984  0.281
O  0.837  0.183  0.224
O  0.837  0.317  0.724
O  0.898  0.746  0.301
O  0.898  0.754  0.801
O  0.943  0.025  0.683
O  0.943  0.475  0.183

Results
**Crystal system**: monoclinic
**Total DFT energy (no corrections)**: -11.996 eV/atom
**Formation energy (no corrections)**: -188 kJ per mole of atoms
**Relative energy among the computed polymorphs**: 0.0 meV/atom

***

This record from Alexandria via LeMat-Bulk describes KSc2Sb at its PBEsol-relaxed geometry. The functional is SCAN.

Unit cell a=3.386 b=4.987 c=6.793 alpha=90.00 beta=101.13 gamma=90.00
Fractional coordinates of all 4 atoms:
K  0.000  0.000  0.000
Sc  0.311  0.500  0.690
Sc  0.689  0.500  0.310
Sb  0.500  0.000  0.500

Results
**Crystal system**: monoclinic
**Total DFT energy (no corrections)**: -18.534 eV/atom
**Formation energy (no corrections)**: -2 kJ per mole of atoms

***

This record from Alexandria via LeMat-Bulk describes Sc3GeAs at its PBEsol-relaxed geometry. The functional is SCAN.

Unit cell a=4.925 b=4.925 c=4.925 alpha=90.00 beta=90.00 gamma=90.00
Fractional coordinates of all 5 atoms:
Sc  0.000  0.000  0.500
Sc  0.000  0.500  0.000
Sc  0.500  0.000  0.000
Ge  0.000  0.000  0.000
As  0.500  0.500  0.500

Results
**Energy relative to the elements**: -0.286 eV per atom
**Crystal system**: cubic
**Total DFT energy (no corrections)**: -16.684 eV/atom

***

This record from Alexandria via LeMat-Bulk describes Be2SO at its PBEsol-relaxed geometry. The functional is SCAN.

Unit cell a=5.280 b=5.280 c=5.280 alpha=131.51 beta=131.51 gamma=71.01
Fractional coordinates of all 8 atoms:
Be  0.051  0.625  0.926
Be  0.375  0.301  0.426
Be  0.699  0.125  0.074
Be  0.875  0.949  0.574
S  0.250  0.750  0.500
S  0.500  0.500  0.000
O  0.000  0.000  0.000
O  0.750  0.250  0.500

Results
**Crystal system**: tetragonal
**Total DFT energy (no corrections)**: -8.045 eV/atom
**Formation energy (no corrections)**: -184 kJ per mole of atoms

***

This record from Alexandria via LeMat-Bulk describes LaAuC2 at its PBEsol-relaxed geometry. The functional is SCAN.

Unit cell a=4.350 b=4.350 c=4.350 alpha=60.00 beta=60.00 gamma=60.00
Fractional coordinates of all 4 atoms:
La  0.000  0.000  0.000
Au  0.500  0.500  0.500
C  0.250  0.250  0.250
C  0.750  0.750  0.750

Results
**Energy relative to the elements**: 1.269 eV per atom
**Crystal system**: cubic
**Total DFT energy (no corrections)**: -31.846 eV/atom

***

This record from Alexandria via LeMat-Bulk describes Mg2GePb2 at its PBEsol-relaxed geometry. The functional is SCAN.

Unit cell a=7.869 b=7.869 c=7.869 alpha=148.16 beta=148.16 gamma=45.65
Fractional coordinates of all 5 atoms:
Mg  0.095  0.095  0.000
Mg  0.905  0.905  0.000
Ge  0.500  0.500  0.000
Pb  0.250  0.750  0.500
Pb  0.750  0.250  0.500

Results
**Energy relative to the elements**: 0.288 eV per atom
**Crystal system**: tetragonal
**Total DFT energy (no corrections)**: -35.832 eV/atom

***

This record from Alexandria via LeMat-Bulk describes LiCa2BeSn at its PBEsol-relaxed geometry. The functional is SCAN.

Unit cell a=5.886 b=5.886 c=4.991 alpha=90.00 beta=90.00 gamma=90.00
Fractional coordinates of all 5 atoms:
Li  0.000  0.000  0.000
Ca  0.000  0.500  0.500
Ca  0.500  0.000  0.500
Be  0.500  0.500  0.000
Sn  0.000  0.000  0.500

Results
**Energy relative to the elements**: 0.368 eV per atom
**Crystal system**: tetragonal
**Total DFT energy (no corrections)**: -12.031 eV/atom

***

This record from Alexandria via LeMat-Bulk describes SrPRu2 at its PBEsol-relaxed geometry. The functional is SCAN.

Unit cell a=3.794 b=3.794 c=5.480 alpha=90.00 beta=90.00 gamma=90.00
Fractional coordinates of all 4 atoms:
Sr  0.000  0.000  0.000
P  0.500  0.500  0.281
Ru  0.000  0.500  0.513
Ru  0.500  0.000  0.513

Results
**Energy relative to the elements**: -0.185 eV per atom
**Crystal system**: tetragonal
**Total DFT energy (no corrections)**: -25.766 eV/atom

***

This record from Alexandria via LeMat-Bulk describes MnCo2P at its PBEsol-relaxed geometry. The functional is SCAN.

Unit cell a=4.633 b=4.633 c=4.633 alpha=146.92 beta=129.83 gamma=61.41
Fractional coordinates of all 4 atoms:
Mn  0.000  0.000  0.000
Co  0.443  0.443  0.000
Co  0.724  0.224  0.500
P  0.228  0.728  0.500

Results
**Energy relative to the elements**: -0.136 eV per atom
**Crystal system**: orthorhombic
**Total DFT energy (no corrections)**: -15.952 eV/atom

***

This record from Alexandria via LeMat-Bulk describes Ti3RuC at its PBEsol-relaxed geometry. The functional is SCAN.

Unit cell a=4.556 b=4.556 c=4.556 alpha=90.00 beta=90.00 gamma=90.00
Fractional coordinates of all 5 atoms:
Ti  0.000  0.000  0.500
Ti  0.000  0.500  0.000
Ti  0.500  0.000  0.000
Ru  0.000  0.000  0.000
C  0.500  0.500  0.500

Results
**Energy relative to the elements**: 1.472 eV per atom
**Crystal system**: cubic
**Total DFT energy (no corrections)**: -17.132 eV/atom